The following is a PBE-GGA calculation of crystalline InAs4Os at its relaxed geometry, from the Alexandria database.

Cell lengths 5.4898, 5.4898, 5.4898 Å; angles 60.00, 60.00, 60.00 degrees
Positions (direct):
As: 0.8737 0.3754 0.3754
As: 0.3754 0.3754 0.8737
As: 0.3754 0.8737 0.3754
As: 0.3754 0.3754 0.3754
In: 0.7500 0.7500 0.7500
Os: 0.0000 0.0000 0.0000

Values from the calculation:
* symmetry: F-43m (216)
* magnetization: 0.0 μB/cell
* calculated formation energy: 0.96 eV/atom